## PmNpB2O8 (PBE)

Data for PmNpB2O8 after structural relaxation.

Raw formation energy = -2.46 eV/atom

Cell and atoms, written as POSCAR:
```
PmNpB2O8
1.0
-3.8740 -3.2098 -0.0817
2.2560 1.3302 -4.2963
4.3415 -5.2566 0.6522
O B Np Pm
8 2 1 1
Direct
0.8257 0.6514 0.1997
0.3333 0.6667 0.5142
0.1743 0.3486 0.8003
0.6514 0.8257 0.8003
0.6667 0.3333 0.4858
0.3486 0.1743 0.1997
0.1743 0.8257 0.8003
0.8257 0.1743 0.1997
0.6667 0.3333 0.2808
0.3333 0.6667 0.7192
0.0000 0.0000 0.0000
0.0000 0.0000 0.5000
```


## PrNpB2O8 (PBE)

Data for PrNpB2O8 after structural relaxation.

Raw formation energy = -2.47 eV/atom

Cell and atoms, written as POSCAR:
```
PrNpB2O8
1.0
5.0406 0.0000 0.0000
-2.5203 4.3653 0.0000
0.0000 0.0000 6.9482
Np O B Pr
1 8 2 1
Direct
0.0000 0.0000 0.0000
0.1747 0.3493 0.8046
0.8253 0.1747 0.1954
0.3493 0.1747 0.1954
0.1747 0.8253 0.8046
0.3333 0.6667 0.5219
0.6507 0.8253 0.8046
0.8253 0.6507 0.1954
0.6667 0.3333 0.4781
0.3333 0.6667 0.7239
0.6667 0.3333 0.2761
0.0000 0.0000 0.5000
```


| no. | total moment (μB per atom) |
| --- | --- |
| 1 | 0.086 |
| 2 | 0.079 |